No. 1
# Al2SiNi8

A relaxed Al2SiNi8 crystal (PBE, the Alexandria database).

Summary:
Uncorrected formation energy = -386 meV per atom
Space-group type = No. 71
Total energy = -63.4 eV per cell
M_tot = 0.000 Bohr magnetons per cell
ΔE to the lowest computed polymorph = 0.0195 eV per atom

```
11
Lattice="3.852 0.000 -1.172 -0.780 4.515 -2.564 -0.018 0.838 6.857" Properties=species:S:1:pos:R:3 pbc="T T T"
Al 0.176 3.413 0.580
Al 2.878 1.940 2.541
Si 1.926 0.000 -0.586
Ni 1.785 4.213 -1.050
Ni 0.899 3.281 2.954
Ni 0.533 1.087 1.752
Ni -0.202 1.167 -0.663
Ni 2.521 4.266 1.369
Ni 2.155 2.072 0.166
Ni 1.269 1.140 4.171
Ni 3.256 4.186 3.783
```

No. 2
# Al2Si2Ni

A relaxed Al2Si2Ni crystal (PBE, the Alexandria database).

Summary:
Uncorrected formation energy = 221 meV per atom
Space-group type = No. 127
Total energy = -46.0 eV per cell
M_tot = 0.000 Bohr magnetons per cell

```
10
Lattice="6.331 0.000 0.000 0.000 6.331 0.000 0.000 0.000 3.851" Properties=species:S:1:pos:R:3 pbc="T T T"
Al 5.338 2.172 0.000
Al 0.994 4.159 0.000
Al 2.172 0.994 0.000
Al 4.159 5.338 0.000
Si 4.086 0.920 1.925
Si 2.245 5.411 1.925
Si 0.920 2.245 1.925
Si 5.411 4.086 1.925
Ni 0.000 0.000 0.000
Ni 3.166 3.166 0.000
```

No. 3
# Al4SiNi

A relaxed Al4SiNi crystal (PBE, the Alexandria database).

Summary:
Uncorrected formation energy = 346 meV per atom
Space-group type = No. 216
Total energy = -24.1 eV per cell
M_tot = 0.001 Bohr magnetons per cell
ΔE to the lowest computed polymorph = 0.4897 eV per atom

```
6
Lattice="0.000 3.633 3.633 3.633 0.000 3.633 3.633 3.633 0.000" Properties=species:S:1:pos:R:3 pbc="T T T"
Al 2.725 4.540 4.540
Al 4.540 4.540 2.725
Al 4.540 2.725 4.540
Al 2.725 2.725 2.725
Si 0.000 0.000 0.000
Ni 5.449 5.449 5.449
```

No. 4
# AlSiNi2

A relaxed AlSiNi2 crystal (PBE, the Alexandria database).

Summary:
Uncorrected formation energy = -465 meV per atom
Space-group type = No. 63
Total energy = -45.2 eV per cell
M_tot = 0.000 Bohr magnetons per cell

```
8
Lattice="-4.064 4.943 -1.274 1.347 -6.040 2.067 0.676 1.789 4.786" Properties=species:S:1:pos:R:3 pbc="T T T"
Al 0.056 -2.630 2.362
Al -2.098 3.322 3.217
Si -0.839 0.767 3.994
Si -1.203 -0.075 1.585
Ni 1.133 -4.018 4.130
Ni -3.509 3.824 -0.920
Ni 1.467 -3.133 6.500
Ni -3.175 4.709 1.450
```

No. 5
# AlSiNi

A relaxed AlSiNi crystal (PBE, the Alexandria database).

Summary:
Uncorrected formation energy = 59 meV per atom
Space-group type = No. 187
Total energy = -14.8 eV per cell
M_tot = 0.000 Bohr magnetons per cell

```
3
Lattice="-0.864 1.013 -3.936 -2.869 0.530 2.959 0.924 2.518 0.445" Properties=species:S:1:pos:R:3 pbc="T T T"
Al -1.532 0.852 -1.638
Si 0.462 1.259 0.223
Ni -2.200 0.691 0.661
```

No. 6
# AlSiNi4

A relaxed AlSiNi4 crystal (PBE, the Alexandria database).

Summary:
Uncorrected formation energy = -228 meV per atom
Space-group type = No. 191
Total energy = -33.7 eV per cell
M_tot = 0.001 Bohr magnetons per cell
ΔE to the lowest computed polymorph = 0.2300 eV per atom

```
6
Lattice="1.996 -3.456 0.000 1.996 3.456 0.000 0.000 0.000 5.033" Properties=species:S:1:pos:R:3 pbc="T T T"
Al 0.000 0.000 0.000
Si 0.000 0.000 2.517
Ni 1.996 1.152 1.285
Ni 1.996 1.152 3.748
Ni 1.996 -1.152 1.285
Ni 1.996 -1.152 3.748
```